# Y4MgCo

A relaxed Y4MgCo crystal (PBE, the Alexandria database).

The space group is F-43m (No. 216) and the conventional cell measures 13.610, 13.610 and 13.610 Å, with angles of 90.00, 90.00 and 90.00 degrees. The asymmetric unit holds Y at (0.000, 0.000, 0.187), Y at (0.063, 0.250, 0.250), Y at (0.155, 0.155, 0.655), Mg at (0.079, 0.079, 0.421) and Co at (0.141, 0.141, 0.859).

Its formation enthalpy at 0 K is -0.15 eV per atom. The value obtained for the size of the total moment is 0.00 μB/f.u. Its density of states at the Fermi level is 0.990 states/eV per atom.